# 1
Density functional theory data (PBE-GGA) for crystalline Er2ScN3 at its relaxed geometry.

Calculated values
spin magnetization = 0.00 μB per atom
electronic total energy = -8.53 eV/atom
crystal system = trigonal

Cell lengths 3.3398, 3.3398, 8.1687 Å; angles 90.00, 90.00, 120.00 degrees
Space group P-3m1 (No. 164)
Symmetry-distinct sites (fractional):
1 Er 0.3333 0.6667 0.3275
2 Sc 0.0000 0.0000 0.0000
3 N 0.0000 0.0000 0.5000
4 N 0.3333 0.6667 0.8437

# 2
Density functional theory data (PBE-GGA) for crystalline HfMgN2 at its relaxed geometry.

Calculated values
spin magnetization = 0.00 μB per atom
electronic total energy = -8.52 eV/atom
crystal system = tetragonal

Cell lengths 4.4129, 4.4129, 9.1437 Å; angles 90.00, 90.00, 90.00 degrees
Space group I4_1/amd (No. 141, origin choice 2)
Symmetry-distinct sites (fractional):
1 Hf 0.0000 0.2500 0.3750
2 Mg 0.0000 0.2500 0.8750
3 N 0.0000 0.2500 0.1356

# 3
Density functional theory data (PBE-GGA) for crystalline GdTePbAuS2 at its relaxed geometry.

Calculated values
spin magnetization = 0.00 μB per atom
electronic total energy = -4.72 eV/atom
crystal system = orthorhombic

Cell lengths 4.0659, 14.1540, 11.1522 Å; angles 90.00, 90.00, 90.00 degrees
Space group Cmcm (No. 63)
Symmetry-distinct sites (fractional):
1 Gd 0.0000 0.0000 0.0000
2 Te 0.0000 0.1099 0.2500
3 Pb 0.0000 0.2058 0.7500
4 Au 0.0000 0.4716 0.2500
5 S 0.0000 0.3724 0.0628

# 4
Density functional theory data (PBE-GGA) for crystalline HfBeSb at its relaxed geometry.

Calculated values
spin magnetization = 0.00 μB per atom
relative energy among the computed polymorphs = 219 meV/atom
crystal system = cubic

Cell lengths 6.4842, 6.4842, 6.4842 Å; angles 90.00, 90.00, 90.00 degrees
Space group F-43m (No. 216)
Symmetry-distinct sites (fractional):
1 Hf 0.0000 0.0000 0.0000
2 Be 0.2500 0.2500 0.7500
3 Sb 0.2500 0.2500 0.2500

# 5
Density functional theory data (PBE-GGA) for crystalline Nd2Sm2CI2Br2Cl at its relaxed geometry.

Calculated values
spin magnetization = 0.00 μB per atom
relative energy among the computed polymorphs = 19 meV/atom
crystal system = monoclinic

Cell lengths 18.6368, 3.9456, 8.2692 Å; angles 90.00, 101.80, 90.00 degrees
Space group C2/m (No. 12)
Symmetry-distinct sites (fractional):
1 Nd 0.1382 0.0000 0.0701
2 Sm 0.0032 0.5000 0.7926
3 C 0.0000 0.0000 0.0000
4 I 0.1646 0.5000 0.3681
5 Br 0.1688 0.5000 0.8219
6 Cl 0.0000 0.0000 0.5000

# 6
Density functional theory data (PBE-GGA) for crystalline ZrZnNO at its relaxed geometry.

Calculated values
spin magnetization = 0.00 μB per atom
relative energy among the computed polymorphs = 78 meV/atom
crystal system = orthorhombic

Cell lengths 3.6417, 6.0181, 4.6735 Å; angles 90.00, 90.00, 90.00 degrees
Space group Pmc2_1 (No. 26)
Symmetry-distinct sites (fractional):
1 Zr 0.0000 0.1651 0.0000
2 Zn 0.5000 0.3189 0.5060
3 N 0.0000 0.1931 0.4966
4 O 0.5000 0.3444 0.9977

# 7
Density functional theory data (PBE-GGA) for crystalline Y4Ta2Cd3C3 at its relaxed geometry.

Calculated values
spin magnetization = 0.00 μB per atom
electronic total energy = -7.03 eV/atom
crystal system = monoclinic

Cell lengths 10.3620, 6.0095, 15.7195 Å; angles 90.00, 104.01, 90.00 degrees
Space group C2/c (No. 15)
Symmetry-distinct sites (fractional):
1 Y 0.1180 0.0675 0.0944
2 Y 0.2079 0.0920 0.4057
3 Ta 0.0670 0.4088 0.9335
4 Cd 0.0000 0.1414 0.7500
5 Cd 0.1369 0.4431 0.2455
6 C 0.0725 0.2819 0.5000
7 C 0.2500 0.2500 0.0000

# 8
Density functional theory data (PBE-GGA) for crystalline Cu3H4C6I3N2 at its relaxed geometry.

Calculated values
electronic total energy = -5.62 eV/atom
crystal system = triclinic

Cell lengths 4.1449, 11.4174, 12.8089 Å; angles 94.97, 95.08, 99.37 degrees
Space group P-1 (No. 2)
Symmetry-distinct sites (fractional):
1 Cu 0.1501 0.3146 0.0677
2 Cu 0.2496 0.4033 0.4447
3 Cu 0.3184 0.7365 0.6457
4 H 0.0197 0.0179 0.2338
5 H 0.2040 0.0895 0.9421
6 H 0.3430 0.9143 0.3616
7 H 0.4194 0.7045 0.3072
8 C 0.0618 0.9273 0.2135
9 C 0.0642 0.1323 0.8847
10 C 0.1458 0.6995 0.1547
11 C 0.1794 0.5794 0.1239
12 C 0.2397 0.8697 0.2843
13 C 0.2826 0.7536 0.2546
14 I 0.1660 0.1725 0.4470
15 I 0.2394 0.4987 0.6439
16 I 0.3839 0.7962 0.8524
17 N 0.0250 0.2444 0.9156
18 N 0.2062 0.4796 0.1047

# 9
Density functional theory data (PBE-GGA) for crystalline ZnGaSi17Ge13 at its relaxed geometry.

Calculated values
electronic total energy = -4.83 eV/atom
crystal system = monoclinic

Cell lengths 5.6096, 3.9502, 31.4729 Å; angles 90.00, 90.81, 90.00 degrees
Space group Pm (No. 6)
Symmetry-distinct sites (fractional):
1 Zn 0.0000 0.0000 0.0000
2 Ga 0.7260 0.0000 0.9227
3 Si 0.0115 0.0000 0.8671
4 Si 0.2181 0.5000 0.1163
5 Si 0.2303 0.5000 0.3674
6 Si 0.2309 0.5000 0.6162
7 Si 0.2323 0.5000 0.9898
8 Si 0.2423 0.5000 0.7398
9 Si 0.2436 0.5000 0.8671
10 Si 0.4754 0.5000 0.1766
11 Si 0.4796 0.5000 0.4285
12 Si 0.4796 0.5000 0.6777
13 Si 0.4903 0.5000 0.5564
14 Si 0.7192 0.0000 0.0550
15 Si 0.7315 0.0000 0.5558
16 Si 0.7408 0.0000 0.3058
17 Si 0.9794 0.0000 0.1149
18 Si 0.9902 0.0000 0.6158
19 Si 0.9909 0.0000 0.3665
20 Ge 0.2407 0.5000 0.2408
21 Ge 0.2427 0.5000 0.4927
22 Ge 0.4740 0.5000 0.0545
23 Ge 0.4857 0.5000 0.8042
24 Ge 0.4886 0.5000 0.9320
25 Ge 0.4913 0.5000 0.3061
26 Ge 0.7256 0.0000 0.1769
27 Ge 0.7295 0.0000 0.4277
28 Ge 0.7304 0.0000 0.6768
29 Ge 0.7466 0.0000 0.8055
30 Ge 0.9783 0.0000 0.2421
31 Ge 0.9792 0.0000 0.4930
32 Ge 0.9925 0.0000 0.7408

# 10
Density functional theory data (PBE-GGA) for crystalline DyErFe2I2 at its relaxed geometry.

Calculated values
spin magnetization = 0.35 μB per atom
electronic total energy = -5.52 eV/atom
crystal system = trigonal

Cell lengths 3.9348, 3.9348, 11.7532 Å; angles 90.00, 90.00, 120.00 degrees
Space group P3m1 (No. 156)
Symmetry-distinct sites (fractional):
1 Dy 0.0000 0.0000 0.0000
2 Er 0.0000 0.0000 0.3259
3 Fe 0.3333 0.6667 0.1672
4 Fe 0.6667 0.3333 0.1615
5 I 0.3333 0.6667 0.8161
6 I 0.6667 0.3333 0.5077

# 11
Density functional theory data (PBE-GGA) for crystalline LiZrBeAu at its relaxed geometry.

Calculated values
spin magnetization = 0.00 μB per atom
relative energy among the computed polymorphs = 60 meV/atom
crystal system = cubic

Cell lengths 6.3643, 6.3643, 6.3643 Å; angles 90.00, 90.00, 90.00 degrees
Space group F-43m (No. 216)
Symmetry-distinct sites (fractional):
1 Li 0.0000 0.0000 0.0000
2 Zr 0.0000 0.0000 0.5000
3 Be 0.2500 0.2500 0.2500
4 Au 0.2500 0.2500 0.7500

# 12
Density functional theory data (PBE-GGA) for crystalline In2Os2O5 at its relaxed geometry.

Calculated values
spin magnetization = 0.00 μB per atom
relative energy among the computed polymorphs = 0 meV/atom
crystal system = tetragonal

Cell lengths 3.8081, 3.8081, 8.8455 Å; angles 90.00, 90.00, 90.00 degrees
Space group P4/mmm (No. 123)
Symmetry-distinct sites (fractional):
1 In 0.0000 0.0000 0.0000
2 In 0.0000 0.0000 0.5000
3 Os 0.5000 0.5000 0.2467
4 O 0.0000 0.5000 0.2428
5 O 0.5000 0.5000 0.5000